# 1
Below is a relaxed MnCr2Hg crystal, with properties calculated at the PBE-GGA level. Values from VASP.

Density of states at the Fermi level   0.975 states/eV/atom
Spin magnetization   3.50 μB/f.u.
Volume   15.44 Å³ per atom
Energy of formation from the pure elements   461 meV per atom

```
&SYSTEM
  ibrav = 0, nat = 4, ntyp = 3
/
ATOMIC_SPECIES
Cr 52.00 Cr.upf
Hg 200.59 Hg.upf
Mn 54.94 Mn.upf
ATOMIC_POSITIONS angstrom
Cr 6.4857 1.0989 0.6466
Cr 24.5216 4.1548 2.4447
Hg 12.3026 2.0845 1.2265
Mn 18.1526 3.0757 1.8097
CELL_PARAMETERS angstrom
8.5205 -0.0384 -0.0226
8.0323 2.8430 -0.0226
8.0323 1.3609 2.4962
```



# 2
Below is a relaxed MnCr2Hg crystal, with properties calculated at the PBE-GGA level. Values from VASP.

Density of states at the Fermi level   0.406 states/eV/atom
Spin magnetization   3.05 μB/f.u.
Volume   16.08 Å³ per atom
Energy of formation from the pure elements   456 meV per atom

```
&SYSTEM
  ibrav = 0, nat = 4, ntyp = 3
/
ATOMIC_SPECIES
Cr 52.00 Cr.upf
Mn 54.94 Mn.upf
Hg 200.59 Hg.upf
ATOMIC_POSITIONS angstrom
Cr 1.7478 2.4757 0.0037
Cr 0.0000 0.0000 0.0000
Mn -0.3659 2.1103 1.7517
Hg 2.1111 0.3615 1.7517
CELL_PARAMETERS angstrom
4.2249 0.7269 0.0037
-0.7292 4.2245 0.0037
-0.0027 -0.0038 3.4996
```



Question: Look up the density of states at the Fermi level of the second one.
Answer: 0.406 states/eV/atom



Question: energy of formation from the pure elements of number 2 (MnCr2Hg)?
Answer: 456 meV per atom